Entry 1:
The following is a PBE-GGA calculation of crystalline CoAsRu2 at its relaxed geometry, from Alexandria via LeMat-Bulk.

The value obtained for the total magnetic moment is 0.000 μB per atom. The value obtained for the energy relative to the elements is 0.746 eV/atom.

It has space group I-42d (No. 122), with a = 5.337 Å, b = 5.337 Å, c = 10.650 Å, α = 90.00°, β = 90.00° and γ = 90.00°. The asymmetric unit holds Co at (0.000, 0.000, 0.000), As at (0.000, 0.000, 0.500) and Ru at (0.229, 0.250, 0.125).

Entry 2:
The following is a PBE-GGA calculation of crystalline CoAsRu2 at its relaxed geometry, from Alexandria via LeMat-Bulk.

The value obtained for the total magnetic moment is 0.684 μB per atom. The value obtained for the energy relative to the elements is 0.290 eV/atom.

It has space group Pmmm (No. 47), with a = 2.865 Å, b = 4.276 Å, c = 4.533 Å, α = 90.00°, β = 90.00° and γ = 90.00°. The asymmetric unit holds Co at (0.000, 0.000, 0.000), As at (0.500, 0.000, 0.500), Ru at (0.000, 0.500, 0.500) and Ru at (0.500, 0.500, 0.000).

Entry 3:
The following is a PBE-GGA calculation of crystalline Co3AsRu at its relaxed geometry, from Alexandria via LeMat-Bulk.

The value obtained for the total magnetic moment is 1.012 μB per atom. The distance to the lowest polymorph of the same formula comes out at 0.481 eV per atom. The value obtained for the energy relative to the elements is 1.461 eV/atom.

It has space group Pm-3m (No. 221), with a = 4.460 Å, b = 4.460 Å, c = 4.460 Å, α = 90.00°, β = 90.00° and γ = 90.00°. The asymmetric unit holds Co at (0.000, 0.000, 0.500), As at (0.500, 0.500, 0.500) and Ru at (0.000, 0.000, 0.000).

Entry 4:
The following is a PBE-GGA calculation of crystalline Co2AsRu at its relaxed geometry, from Alexandria via LeMat-Bulk.

The value obtained for the total magnetic moment is 0.695 μB per atom. The value obtained for the energy relative to the elements is 0.077 eV/atom.

It has space group Cm (No. 8), with a = 8.670 Å, b = 2.858 Å, c = 4.343 Å, α = 90.00°, β = 109.44° and γ = 90.00°. The asymmetric unit holds Co at (0.000, 0.000, 0.000), Co at (0.247, 0.500, 0.142), As at (0.276, 0.000, 0.665) and Ru at (0.031, 0.500, 0.508).